1.
Density functional theory data (GGA-PBE) for a relaxed Li2MgCd crystal.

Cell and atoms, written as CIF:
```
data_Li2MgCd
_cell_length_a 3.1165
_cell_length_b 3.1165
_cell_length_c 29.1925
_cell_angle_alpha 90.00
_cell_angle_beta 90.00
_cell_angle_gamma 120.00
_symmetry_space_group_name_H-M 'R 3 m'
_symmetry_Int_Tables_number 160
_symmetry_space_group_name_Hall 'R 3 -2"'
loop_
_atom_site_label
_atom_site_type_symbol
_atom_site_fract_x
_atom_site_fract_y
_atom_site_fract_z
Li1 Li 0.0000 0.0000 0.0000
Li2 Li 0.0000 0.0000 0.1725
Mg1 Mg 0.0000 0.0000 0.4197
Cd1 Cd 0.0000 0.0000 0.5860
```

Output
The calculation puts the magnetization at 0.0 μB/cell. The excess energy over the best structure of this formula in the dataset comes out at 86 meV/atom. As for the formation energy: -8.8 kJ/mol of atoms. For the total energy, the calculation gives -20.10 eV/cell.



2.
Density functional theory data (GGA-PBE) for a relaxed Rb12Cd3Hg5 crystal.

Cell and atoms, written as CIF:
```
data_Rb12Cd3Hg5
_cell_length_a 21.817
_cell_length_b 21.817
_cell_length_c 21.817
_cell_angle_alpha 90.00
_cell_angle_beta 90.00
_cell_angle_gamma 90.00
_symmetry_space_group_name_H-M 'I a -3 d'
_symmetry_Int_Tables_number 230
_symmetry_space_group_name_Hall '-I 4bd 2c 3'
loop_
_atom_site_label
_atom_site_type_symbol
_atom_site_fract_x
_atom_site_fract_y
_atom_site_fract_z
Rb1 Rb 0.022 0.074 0.650
Cd1 Cd 0.000 0.250 0.125
Hg1 Hg 0.000 0.000 0.000
Hg2 Hg 0.000 0.250 0.375
```

Output
The calculation puts the magnetization at 0.0 μB/cell. As for the formation energy: 1.6 kJ/mol of atoms. For the total energy, the calculation gives -124.26 eV/cell.